# Nb4TcOs

Crystalline Nb4TcOs at its relaxed geometry (PBE, Alexandria via LeMat-Bulk).

## Properties
Total energy, eV/cell: -60.29
SG: C2/m, No. 12
Energy of formation, eV/atom: 0.2649

Geometry as CIF:
```
data_Nb4TcOs
_space_group_name_H-M_alt 'P 1'
_space_group_IT_number 1
_cell_length_a 4.364
_cell_length_b 4.364
_cell_length_c 6.248
_cell_angle_alpha 90.04
_cell_angle_beta 90.04
_cell_angle_gamma 90.00
loop_
_space_group_symop_operation_xyz
'x,y,z'
loop_
_atom_site_label
_atom_site_fract_x
_atom_site_fract_y
_atom_site_fract_z
Nb1 0.000 0.500 0.249
Nb2 0.000 0.500 0.751
Nb3 0.500 0.000 0.249
Nb4 0.500 0.000 0.751
Tc1 0.000 0.000 0.000
Os1 0.500 0.500 0.500
```